An optimized crystal structure of TaCS2. Source: Alexandria via LeMat-Bulk, functional PBE.

Structure (POSCAR):
```
TaCS2
1.0
-2.5867 2.5867 4.5562
2.5867 -2.5867 4.5562
2.5867 2.5867 -4.5562
Ta C S
2 2 4
Cartesian
0.0000 0.0000 0.0000 Ta
0.0000 2.5867 2.2781 Ta
2.5867 0.0000 2.2781 C
0.0000 0.0000 4.5562 C
1.2933 -0.9454 3.4171 S
1.6413 1.2933 1.1390 S
1.2933 3.5321 -1.1390 S
0.9454 1.2933 5.6952 S
```

ΔE_f (raw) ... 878 meV per atom
Raw total energy ... -6.4545 eV per atom